Entry from Alexandria via LeMat-Bulk: a relaxed structure of LiLaRu2 (GGA-PBE).

The structure belongs to space group I-4m2 (No. 119); the cell edges are 4.6507, 4.6507 and 6.5547 Å and the angles 90.00°, 90.00° and 90.00°. The asymmetric unit holds Li at (0.0000, 0.0000, 0.0000), La at (0.0000, 0.5000, 0.7500), Ru at (0.0000, 0.0000, 0.5000) and Ru at (0.0000, 0.5000, 0.2500).

As for the crystal system: tetragonal. The calculation puts the energy above the most stable polymorph in this dataset at 0.218 eV per atom. As for the formation energy: 0.231 eV per atom. The value obtained for the volume is 70.9 Å³/f.u.

=====

Entry from Alexandria via LeMat-Bulk: a relaxed structure of Ca2ScTa (GGA-PBE).

The structure belongs to space group Cmmm (No. 65); the cell edges are 6.4045, 10.4740 and 3.1472 Å and the angles 90.00°, 90.00° and 90.00°. The asymmetric unit holds Ca at (0.2500, 0.2500, 0.0000), Sc at (0.0000, 0.0000, 0.5000) and Ta at (0.0000, 0.5000, 0.5000).

As for the crystal system: orthorhombic. The calculation puts the energy above the most stable polymorph in this dataset at 0.301 eV per atom. As for the formation energy: 0.661 eV per atom. The value obtained for the volume is 105.6 Å³/f.u.

=====

Entry from Alexandria via LeMat-Bulk: a relaxed structure of ScGeS2Cl (GGA-PBE).

The structure belongs to space group P4/mmm (No. 123); the cell edges are 4.7279, 4.7279 and 4.7724 Å and the angles 90.00°, 90.00° and 90.00°. The asymmetric unit holds Sc at (0.0000, 0.0000, 0.0000), Ge at (0.5000, 0.5000, 0.0000), S at (0.0000, 0.5000, 0.5000) and Cl at (0.5000, 0.5000, 0.5000).

As for the crystal system: tetragonal. The formation energy from raw total energies comes out at 0.412 eV/atom. The calculation puts the energy above the most stable polymorph in this dataset at 1.129 eV per atom. The value obtained for the volume is 106.7 Å³/f.u.

=====

Entry from Alexandria via LeMat-Bulk: a relaxed structure of RbTl3Sb2 (GGA-PBE).

The structure belongs to space group C2/m (No. 12); the cell edges are 18.9371, 5.5196 and 8.7132 Å and the angles 90.00°, 107.39° and 90.00°. The asymmetric unit holds Rb at (0.1275, 0.0000, 0.1566), Tl at (0.0448, 0.0000, 0.6813), Tl at (0.1633, 0.5000, 0.4826), Tl at (0.1820, 0.5000, 0.8964), Sb at (0.0064, 0.5000, 0.8385) and Sb at (0.2154, 0.0000, 0.7206).

As for the crystal system: monoclinic. The formation energy from raw total energies comes out at -0.152 eV/atom. The calculation puts the energy above the most stable polymorph in this dataset at 0.000 eV per atom. The value obtained for the volume is 217.3 Å³/f.u.

=====

Entry from Alexandria via LeMat-Bulk: a relaxed structure of P2HSI (GGA-PBE).

The structure belongs to space group P4/mmm (No. 123); the cell edges are 5.3901, 5.3901 and 5.2069 Å and the angles 90.00°, 90.00° and 90.00°. The asymmetric unit holds P at (0.0000, 0.5000, 0.0000), H at (0.0000, 0.0000, 0.5000), S at (0.5000, 0.5000, 0.5000) and I at (0.5000, 0.5000, 0.0000).

As for the crystal system: tetragonal. The calculation puts the energy above the most stable polymorph in this dataset at 0.970 eV per atom. The value obtained for the volume is 151.3 Å³/f.u.

=====

Entry from Alexandria via LeMat-Bulk: a relaxed structure of CeYZnGa (GGA-PBE).

The structure belongs to space group F-43m (No. 216); the cell edges are 7.2119, 7.2119 and 7.2119 Å and the angles 90.00°, 90.00° and 90.00°. The asymmetric unit holds Ce at (0.0000, 0.0000, 0.0000), Y at (0.0000, 0.0000, 0.5000), Zn at (0.2500, 0.2500, 0.7500) and Ga at (0.2500, 0.2500, 0.2500).

As for the crystal system: cubic. As for the formation energy: -0.420 eV per atom. The value obtained for the volume is 93.8 Å³/f.u.

=====

Entry from Alexandria via LeMat-Bulk: a relaxed structure of Al6Ga5 (GGA-PBE).

The structure belongs to space group C2/m (No. 12); the cell edges are 8.1983, 10.5855 and 4.8986 Å and the angles 90.00°, 111.43° and 90.00°. The asymmetric unit holds Al at (0.1960, 0.1360, 0.1519), Al at (0.2015, 0.0000, 0.6653), Ga at (0.0000, 0.2133, 0.5000), Ga at (0.0000, 0.3569, 0.0000) and Ga at (0.0000, 0.5000, 0.5000).

As for the crystal system: monoclinic. The calculation puts the energy above the most stable polymorph in this dataset at 0.000 eV per atom. As for the formation energy: 0.071 eV per atom. The value obtained for the volume is 197.9 Å³/f.u.

=====

Entry from Alexandria via LeMat-Bulk: a relaxed structure of TeRhBr2 (GGA-PBE).

The structure belongs to space group Fmmm (No. 69); the cell edges are 6.3167, 6.6836 and 9.1165 Å and the angles 90.00°, 90.00° and 90.00°. The asymmetric unit holds Te at (0.0000, 0.0000, 0.0000), Rh at (0.0000, 0.0000, 0.5000) and Br at (0.0000, 0.2500, 0.2500).

As for the crystal system: orthorhombic. The formation energy from raw total energies comes out at 0.397 eV/atom. The value obtained for the volume is 96.2 Å³/f.u.

=====

Entry from Alexandria via LeMat-Bulk: a relaxed structure of VMoRh2 (GGA-PBE).

The structure belongs to space group Cmmm (No. 65); the cell edges are 5.4622, 7.6602 and 2.7385 Å and the angles 90.00°, 90.00° and 90.00°. The asymmetric unit holds V at (0.0000, 0.0000, 0.0000), Mo at (0.0000, 0.5000, 0.0000) and Rh at (0.2500, 0.2500, 0.5000).

As for the crystal system: orthorhombic. The calculation puts the energy above the most stable polymorph in this dataset at 0.000 eV per atom. As for the formation energy: -0.269 eV per atom. The value obtained for the volume is 57.3 Å³/f.u.

=====

Entry from Alexandria via LeMat-Bulk: a relaxed structure of Na3Tl3SnCl8 (GGA-PBE).

The structure belongs to space group R-3m (No. 166, hexagonal axes); the cell edges are 8.4275, 8.4275 and 22.2233 Å and the angles 90.00°, 90.00° and 120.00°. The asymmetric unit holds Na at (0.0000, 0.5000, 0.0000), Tl at (0.0000, 0.5000, 0.5000), Sn at (0.0000, 0.0000, 0.0000), Cl at (0.0000, 0.0000, 0.2624) and Cl at (0.0021, 0.5011, 0.7365).

As for the crystal system: trigonal. The formation energy from raw total energies comes out at -1.318 eV/atom. The value obtained for the volume is 455.7 Å³/f.u.